*one*
Below is La7Ho2Sc2 after structural relaxation, with properties calculated at the PBE level.

```
data_La7Ho2Sc2
_chemical_formula_sum 'La14 Ho4 Sc4'
_symmetry_space_group_name_H-M 'C 1 2/m 1'
_symmetry_Int_Tables_number 12
_symmetry_space_group_name_Hall '-C 2y'
_cell_length_a 8.473
_cell_length_b 10.956
_cell_length_c 8.327
_cell_angle_alpha 90.00
_cell_angle_beta 102.25
_cell_angle_gamma 90.00
loop_
_atom_site_label
_atom_site_type_symbol
_atom_site_fract_x
_atom_site_fract_y
_atom_site_fract_z
La1 La 0.000 0.000 0.000
La2 La 0.203 0.000 0.483
La3 La 0.207 0.281 0.182
Ho1 Ho 0.073 0.500 0.818
Sc1 Sc 0.000 0.291 0.500
```

*two*
Below is La7Ho2Sc2 after structural relaxation, with properties calculated at the PBE level.

```
data_La7Ho2Sc2
_chemical_formula_sum 'La14 Ho4 Sc4'
_symmetry_space_group_name_H-M 'C 1 2/m 1'
_symmetry_Int_Tables_number 12
_symmetry_space_group_name_Hall '-C 2y'
_cell_length_a 8.499
_cell_length_b 10.839
_cell_length_c 8.340
_cell_angle_alpha 90.00
_cell_angle_beta 104.58
_cell_angle_gamma 90.00
loop_
_atom_site_label
_atom_site_type_symbol
_atom_site_fract_x
_atom_site_fract_y
_atom_site_fract_z
La1 La 0.000 0.000 0.000
La2 La 0.065 0.500 0.809
La3 La 0.204 0.291 0.180
Ho1 Ho 0.191 0.000 0.466
Sc1 Sc 0.000 0.287 0.500
```

Most stable one: *one*, least stable one: *two*.

*one*
Below is La4Ho3Sc after structural relaxation, with properties calculated at the PBE level.

```
data_La4Ho3Sc
_chemical_formula_sum 'La8 Ho6 Sc2'
_symmetry_space_group_name_H-M 'C 1 2/m 1'
_symmetry_Int_Tables_number 12
_symmetry_space_group_name_Hall '-C 2y'
_cell_length_a 23.138
_cell_length_b 3.619
_cell_length_c 6.255
_cell_angle_alpha 90.00
_cell_angle_beta 95.09
_cell_angle_gamma 90.00
loop_
_atom_site_label
_atom_site_type_symbol
_atom_site_fract_x
_atom_site_fract_y
_atom_site_fract_z
La1 La 0.121 0.000 0.377
La2 La 0.124 0.500 0.873
Ho1 Ho 0.000 0.000 0.000
Ho2 Ho 0.249 0.500 0.250
Sc1 Sc 0.000 0.500 0.500
```

*two*
Below is La4Ho3Sc after structural relaxation, with properties calculated at the PBE level.

```
data_La4Ho3Sc
_chemical_formula_sum 'La8 Ho6 Sc2'
_symmetry_space_group_name_H-M 'C 1 2/m 1'
_symmetry_Int_Tables_number 12
_symmetry_space_group_name_Hall '-C 2y'
_cell_length_a 25.173
_cell_length_b 3.436
_cell_length_c 6.143
_cell_angle_alpha 90.00
_cell_angle_beta 93.93
_cell_angle_gamma 90.00
loop_
_atom_site_label
_atom_site_type_symbol
_atom_site_fract_x
_atom_site_fract_y
_atom_site_fract_z
La1 La 0.102 0.000 0.218
La2 La 0.218 0.500 0.242
Ho1 Ho 0.000 0.000 0.500
Ho2 Ho 0.141 0.000 0.726
Sc1 Sc 0.000 0.500 0.000
```

Most stable one: *one*, least stable one: *two*.

*one*
Below is LaSmHoSc after structural relaxation, with properties calculated at the PBE level.

```
data_LaSmHoSc
_chemical_formula_sum 'La4 Sm4 Ho4 Sc4'
_symmetry_space_group_name_H-M 'F -4 3 m'
_symmetry_Int_Tables_number 216
_symmetry_space_group_name_Hall 'F -4 2 3'
_cell_length_a 7.972
_cell_length_b 7.972
_cell_length_c 7.972
_cell_angle_alpha 90.00
_cell_angle_beta 90.00
_cell_angle_gamma 90.00
loop_
_atom_site_label
_atom_site_type_symbol
_atom_site_fract_x
_atom_site_fract_y
_atom_site_fract_z
La1 La 0.000 0.000 0.000
Sm1 Sm 0.000 0.000 0.500
Ho1 Ho 0.250 0.250 0.750
Sc1 Sc 0.250 0.250 0.250
```

*two*
Below is LaSmHoSc after structural relaxation, with properties calculated at the PBE level.

```
data_LaSmHoSc
_chemical_formula_sum 'La2 Sm2 Ho2 Sc2'
_symmetry_space_group_name_H-M 'C 1 m 1'
_symmetry_Int_Tables_number 8
_symmetry_space_group_name_Hall 'C -2y'
_cell_length_a 12.231
_cell_length_b 5.724
_cell_length_c 3.823
_cell_angle_alpha 90.00
_cell_angle_beta 108.11
_cell_angle_gamma 90.00
loop_
_atom_site_label
_atom_site_type_symbol
_atom_site_fract_x
_atom_site_fract_y
_atom_site_fract_z
La1 La 0.000 0.000 0.000
Sm1 Sm 0.227 0.500 0.211
Ho1 Ho 0.267 0.000 0.752
Sc1 Sc 0.495 0.000 0.485
```

Most stable one: *two*, least stable one: *one*.

*one*
Below is LaTbHoSc after structural relaxation, with properties calculated at the PBE level.

```
data_LaTbHoSc
_chemical_formula_sum 'La4 Tb4 Ho4 Sc4'
_symmetry_space_group_name_H-M 'F -4 3 m'
_symmetry_Int_Tables_number 216
_symmetry_space_group_name_Hall 'F -4 2 3'
_cell_length_a 7.939
_cell_length_b 7.939
_cell_length_c 7.939
_cell_angle_alpha 90.00
_cell_angle_beta 90.00
_cell_angle_gamma 90.00
loop_
_atom_site_label
_atom_site_type_symbol
_atom_site_fract_x
_atom_site_fract_y
_atom_site_fract_z
La1 La 0.000 0.000 0.000
Tb1 Tb 0.000 0.000 0.500
Ho1 Ho 0.250 0.250 0.750
Sc1 Sc 0.250 0.250 0.250
```

*two*
Below is LaTbHoSc after structural relaxation, with properties calculated at the PBE level.

```
data_LaTbHoSc
_chemical_formula_sum 'La2 Tb2 Ho2 Sc2'
_symmetry_space_group_name_H-M 'C 1 m 1'
_symmetry_Int_Tables_number 8
_symmetry_space_group_name_Hall 'C -2y'
_cell_length_a 12.165
_cell_length_b 5.689
_cell_length_c 3.814
_cell_angle_alpha 90.00
_cell_angle_beta 108.26
_cell_angle_gamma 90.00
loop_
_atom_site_label
_atom_site_type_symbol
_atom_site_fract_x
_atom_site_fract_y
_atom_site_fract_z
La1 La 0.000 0.000 0.000
Tb1 Tb 0.230 0.500 0.225
Ho1 Ho 0.268 0.000 0.763
Sc1 Sc 0.498 0.000 0.494
```

Most stable one: *two*, least stable one: *one*.

*one*
Below is LaHoThSc after structural relaxation, with properties calculated at the PBE level.

```
data_LaHoThSc
_chemical_formula_sum 'La1 Ho1 Th1 Sc1'
_symmetry_space_group_name_H-M 'P 4 m m'
_symmetry_Int_Tables_number 99
_symmetry_space_group_name_Hall 'P 4 -2'
_cell_length_a 3.587
_cell_length_b 3.587
_cell_length_c 9.653
_cell_angle_alpha 90.00
_cell_angle_beta 90.00
_cell_angle_gamma 90.00
loop_
_atom_site_label
_atom_site_type_symbol
_atom_site_fract_x
_atom_site_fract_y
_atom_site_fract_z
La1 La 0.000 0.000 0.000
Ho1 Ho 0.500 0.500 0.727
Th1 Th 0.000 0.000 0.478
Sc1 Sc 0.500 0.500 0.249
```

*two*
Below is LaHoThSc after structural relaxation, with properties calculated at the PBE level.

```
data_LaHoThSc
_chemical_formula_sum 'La4 Ho4 Th4 Sc4'
_symmetry_space_group_name_H-M 'F -4 3 m'
_symmetry_Int_Tables_number 216
_symmetry_space_group_name_Hall 'F -4 2 3'
_cell_length_a 7.922
_cell_length_b 7.922
_cell_length_c 7.922
_cell_angle_alpha 90.00
_cell_angle_beta 90.00
_cell_angle_gamma 90.00
loop_
_atom_site_label
_atom_site_type_symbol
_atom_site_fract_x
_atom_site_fract_y
_atom_site_fract_z
La1 La 0.000 0.000 0.000
Ho1 Ho 0.250 0.250 0.750
Th1 Th 0.000 0.000 0.500
Sc1 Sc 0.250 0.250 0.250
```

Most stable one: *one*, least stable one: *two*.

*one*
Below is LaHoTmSc after structural relaxation, with properties calculated at the PBE level.

```
data_LaHoTmSc
_chemical_formula_sum 'La3 Ho3 Tm3 Sc3'
_symmetry_space_group_name_H-M 'R 3 m'
_symmetry_Int_Tables_number 160
_symmetry_space_group_name_Hall 'R 3 -2"'
_cell_length_a 3.5147
_cell_length_b 3.5147
_cell_length_c 34.1269
_cell_angle_alpha 90.00
_cell_angle_beta 90.00
_cell_angle_gamma 120.00
loop_
_atom_site_label
_atom_site_type_symbol
_atom_site_fract_x
_atom_site_fract_y
_atom_site_fract_z
La1 La 0.0000 0.0000 0.0000
Ho1 Ho 0.0000 0.0000 0.8292
Tm1 Tm 0.0000 0.0000 0.2447
Sc1 Sc 0.0000 0.0000 0.4172
```

*two*
Below is LaHoTmSc after structural relaxation, with properties calculated at the PBE level.

```
data_LaHoTmSc
_chemical_formula_sum 'La4 Ho4 Tm4 Sc4'
_symmetry_space_group_name_H-M 'F -4 3 m'
_symmetry_Int_Tables_number 216
_symmetry_space_group_name_Hall 'F -4 2 3'
_cell_length_a 7.899
_cell_length_b 7.899
_cell_length_c 7.899
_cell_angle_alpha 90.00
_cell_angle_beta 90.00
_cell_angle_gamma 90.00
loop_
_atom_site_label
_atom_site_type_symbol
_atom_site_fract_x
_atom_site_fract_y
_atom_site_fract_z
La1 La 0.000 0.000 0.000
Ho1 Ho 0.000 0.000 0.500
Tm1 Tm 0.250 0.250 0.750
Sc1 Sc 0.250 0.250 0.250
```

Most stable one: *one*, least stable one: *two*.

*one*
Below is La3HoSe6 after structural relaxation, with properties calculated at the PBE level.

```
data_La3HoSe6
_chemical_formula_sum 'La18 Ho6 Se36'
_symmetry_space_group_name_H-M 'R -3'
_symmetry_Int_Tables_number 148
_symmetry_space_group_name_Hall '-R 3'
_cell_length_a 12.4549
_cell_length_b 12.4549
_cell_length_c 14.6626
_cell_angle_alpha 90.00
_cell_angle_beta 90.00
_cell_angle_gamma 120.00
loop_
_atom_site_label
_atom_site_type_symbol
_atom_site_fract_x
_atom_site_fract_y
_atom_site_fract_z
La1 La 0.0500 0.2711 0.2007
Ho1 Ho 0.0000 0.0000 0.0000
Ho2 Ho 0.0000 0.0000 0.5000
Se1 Se 0.0229 0.2074 0.3993
Se2 Se 0.0320 0.1921 0.8812
```

*two*
Below is La3HoSe6 after structural relaxation, with properties calculated at the PBE level.

```
data_La3HoSe6
_chemical_formula_sum 'La6 Ho2 Se12'
_symmetry_space_group_name_H-M 'P 1 21/c 1'
_symmetry_Int_Tables_number 14
_symmetry_space_group_name_Hall '-P 2ybc'
_cell_length_a 7.144
_cell_length_b 7.848
_cell_length_c 12.710
_cell_angle_alpha 90.00
_cell_angle_beta 122.62
_cell_angle_gamma 90.00
loop_
_atom_site_label
_atom_site_type_symbol
_atom_site_fract_x
_atom_site_fract_y
_atom_site_fract_z
La1 La 0.000 0.000 0.000
La2 La 0.295 0.098 0.754
Ho1 Ho 0.500 0.000 0.500
Se1 Se 0.104 0.061 0.259
Se2 Se 0.263 0.681 0.080
Se3 Se 0.409 0.189 0.077
```

Most stable one: *one*, least stable one: *two*.

*one*
Below is LaSmHo4 after structural relaxation, with properties calculated at the PBE level.

```
data_LaSmHo4
_chemical_formula_sum 'La2 Sm2 Ho8'
_symmetry_space_group_name_H-M 'P 1 21/m 1'
_symmetry_Int_Tables_number 11
_symmetry_space_group_name_Hall '-P 2yb'
_cell_length_a 5.722
_cell_length_b 7.039
_cell_length_c 9.675
_cell_angle_alpha 90.00
_cell_angle_beta 90.37
_cell_angle_gamma 90.00
loop_
_atom_site_label
_atom_site_type_symbol
_atom_site_fract_x
_atom_site_fract_y
_atom_site_fract_z
La1 La 0.217 0.250 0.419
Sm1 Sm 0.223 0.750 0.082
Ho1 Ho 0.251 0.002 0.756
Ho2 Ho 0.276 0.250 0.081
Ho3 Ho 0.278 0.750 0.415
```

*two*
Below is LaSmHo4 after structural relaxation, with properties calculated at the PBE level.

```
data_LaSmHo4
_chemical_formula_sum 'La2 Sm2 Ho8'
_symmetry_space_group_name_H-M 'C 1 2/m 1'
_symmetry_Int_Tables_number 12
_symmetry_space_group_name_Hall '-C 2y'
_cell_length_a 11.328
_cell_length_b 5.058
_cell_length_c 7.167
_cell_angle_alpha 90.00
_cell_angle_beta 108.42
_cell_angle_gamma 90.00
loop_
_atom_site_label
_atom_site_type_symbol
_atom_site_fract_x
_atom_site_fract_y
_atom_site_fract_z
La1 La 0.000 0.000 0.000
Sm1 Sm 0.000 0.000 0.500
Ho1 Ho 0.167 0.500 0.832
Ho2 Ho 0.169 0.500 0.336
```

*three*
Below is LaSmHo4 after structural relaxation, with properties calculated at the PBE level.

```
data_LaSmHo4
_chemical_formula_sum 'La4 Sm4 Ho16'
_symmetry_space_group_name_H-M 'F -4 3 m'
_symmetry_Int_Tables_number 216
_symmetry_space_group_name_Hall 'F -4 2 3'
_cell_length_a 9.391
_cell_length_b 9.391
_cell_length_c 9.391
_cell_angle_alpha 90.00
_cell_angle_beta 90.00
_cell_angle_gamma 90.00
loop_
_atom_site_label
_atom_site_type_symbol
_atom_site_fract_x
_atom_site_fract_y
_atom_site_fract_z
La1 La 0.000 0.000 0.000
Sm1 Sm 0.250 0.250 0.750
Ho1 Ho 0.124 0.124 0.376
```

Most stable one: *two*, least stable one: *three*.